## Li2NdSnSe4 (GGA-PBE)

Data for a geometry-optimized Li2NdSnSe4 structure.

Results
formation energy (no corrections) = -1.16 eV per atom
crystal system = monoclinic

a = 6.924 Å, b = 4.099 Å, c = 7.174 Å
α = 90.00°, β = 110.08°, γ = 90.00°
Positions (direct):
Li 0.000 0.000 0.000
Li 0.000 0.500 0.500
Nd 0.500 0.000 0.500
Sn 0.500 0.500 0.000
Se 0.238 0.000 0.753
Se 0.240 0.500 0.237
Se 0.760 0.500 0.763
Se 0.762 0.000 0.247



## SrLiNdSe3 (GGA-PBE)

Data for a geometry-optimized SrLiNdSe3 structure.

Results
formation energy (no corrections) = -1.77 eV per atom
crystal system = monoclinic

a = 8.841 Å, b = 4.237 Å, c = 9.109 Å
α = 90.00°, β = 101.95°, γ = 90.00°
Positions (direct):
Sr 0.179 0.250 0.230
Sr 0.821 0.750 0.770
Li 0.084 0.250 0.586
Li 0.916 0.750 0.414
Nd 0.334 0.750 0.829
Nd 0.666 0.250 0.171
Se 0.108 0.250 0.867
Se 0.207 0.750 0.504
Se 0.430 0.750 0.168
Se 0.570 0.250 0.832
Se 0.793 0.250 0.496
Se 0.892 0.750 0.133



## SrLiNd2Se4 (GGA-PBE)

Data for a geometry-optimized SrLiNd2Se4 structure.

Results
formation energy (no corrections) = -1.79 eV per atom
crystal system = orthorhombic

a = 7.328 Å, b = 7.328 Å, c = 14.689 Å
α = 90.00°, β = 90.00°, γ = 146.60°
Positions (direct):
Sr 0.117 0.883 0.750
Sr 0.883 0.117 0.250
Li 0.152 0.848 0.250
Li 0.848 0.152 0.750
Nd 0.370 0.630 0.558
Nd 0.370 0.630 0.942
Nd 0.630 0.370 0.058
Nd 0.630 0.370 0.442
Se 0.000 0.000 0.000
Se 0.000 0.000 0.500
Se 0.273 0.727 0.122
Se 0.273 0.727 0.378
Se 0.448 0.552 0.750
Se 0.552 0.448 0.250
Se 0.727 0.273 0.622
Se 0.727 0.273 0.878



## Li3Nd3TaSe8 (GGA-PBE)

Data for a geometry-optimized Li3Nd3TaSe8 structure.

Results
formation energy (no corrections) = -1.43 eV per atom
crystal system = trigonal

a = 8.075 Å, b = 8.075 Å, c = 8.075 Å
α = 61.08°, β = 61.08°, γ = 61.08°
Positions (direct):
Li 0.000 0.500 0.500
Li 0.500 0.000 0.500
Li 0.500 0.500 0.000
Nd 0.000 0.000 0.500
Nd 0.000 0.500 0.000
Nd 0.500 0.000 0.000
Ta 0.500 0.500 0.500
Se 0.255 0.255 0.255
Se 0.269 0.269 0.719
Se 0.269 0.719 0.269
Se 0.281 0.731 0.731
Se 0.719 0.269 0.269
Se 0.731 0.281 0.731
Se 0.731 0.731 0.281
Se 0.745 0.745 0.745